MnRuSe2 | PBE | optimized geometry

Cell lengths 3.110, 4.413, 9.822 Å; angles 90.00, 90.00, 90.00 degrees
Space group Imm2 (No. 44)
Symmetry-distinct sites (fractional):
Mn 0.000 0.000 0.000 x2
Ru 0.000 0.500 0.789 x2
Se 0.000 0.000 0.487 x2
Se 0.000 0.500 0.268 x2

Properties
Density of states at the Fermi level = 0.571 states/eV per atom
Total moment = 7.472 μB per cell
Uncorrected formation energy = 0.6 eV per formula unit



MnRuSe3 | PBE | optimized geometry

Cell lengths 4.574, 4.574, 4.574 Å; angles 90.00, 90.00, 90.00 degrees
Space group Pm-3m (No. 221)
Symmetry-distinct sites (fractional):
Mn 0.000 0.000 0.000 x1
Ru 0.500 0.500 0.500 x1
Se 0.000 0.000 0.500 x3

Properties
Density of states at the Fermi level = 1.264 states/eV per atom
Total moment = 0.000 μB per cell
Uncorrected formation energy = 4.3 eV per formula unit



MnRuSe | PBE | optimized geometry

Cell lengths 3.8488, 3.8488, 26.5376 Å; angles 90.00, 90.00, 120.00 degrees
Space group R3m (No. 160, hexagonal axes)
Symmetry-distinct sites (fractional):
Mn 0.0000 0.0000 0.0000 x3
Mn 0.0000 0.0000 0.4627 x3
Ru 0.0000 0.0000 0.0942 x3
Ru 0.0000 0.0000 0.3692 x3
Se 0.0000 0.0000 0.6299 x3
Se 0.0000 0.0000 0.8330 x3

Properties
Density of states at the Fermi level = 0.775 states/eV per atom
Total moment = 8.397 μB per cell
Uncorrected formation energy = 0.1 eV per formula unit



MnRu4Se | PBE | optimized geometry

Cell lengths 7.266, 7.266, 7.266 Å; angles 90.00, 90.00, 90.00 degrees
Space group F-43m (No. 216)
Symmetry-distinct sites (fractional):
Mn 0.000 0.000 0.000 x4
Ru 0.125 0.125 0.375 x16
Se 0.250 0.250 0.750 x4

Properties
Density of states at the Fermi level = 1.360 states/eV per atom
Total moment = 10.943 μB per cell
Uncorrected formation energy = 4.1 eV per formula unit



MnRu2Se | PBE | optimized geometry

Cell lengths 3.777, 3.777, 8.082 Å; angles 90.00, 90.00, 90.00 degrees
Space group I-4m2 (No. 119)
Symmetry-distinct sites (fractional):
Mn 0.000 0.000 0.000 x2
Ru 0.000 0.000 0.500 x2
Ru 0.000 0.500 0.750 x2
Se 0.000 0.500 0.250 x2

Properties
Density of states at the Fermi level = 1.026 states/eV per atom
Total moment = 5.682 μB per cell
Uncorrected formation energy = 1.3 eV per formula unit



MnRu2Se | PBE | optimized geometry

Cell lengths 6.169, 6.169, 6.169 Å; angles 90.00, 90.00, 90.00 degrees
Space group F-43m (No. 216)
Symmetry-distinct sites (fractional):
Mn 0.000 0.000 0.000 x4
Ru 0.000 0.000 0.500 x4
Ru 0.250 0.250 0.750 x4
Se 0.250 0.250 0.250 x4

Properties
Density of states at the Fermi level = 1.434 states/eV per atom
Total moment = 12.497 μB per cell
Uncorrected formation energy = 1.8 eV per formula unit